PBE Nb3Cr5N12, optimized geometry; magnetic moment = 0.34 μB/atom; energy = -9.29 eV/atom; raw formation energy = -378 meV/atom; space-group type = Ia-3d
1.0
-0.8829 0.3766 -10.1960
8.3520 -5.3700 2.5072
-8.2848 -4.5173 3.9793
Nb Cr N
12 20 48
Cartesian
1.4342 -2.2960 -6.2093 Nb
4.4559 -4.2627 -6.5436 Nb
0.7549 -6.7096 0.5440 Nb
-2.2835 -2.2711 -0.7433 Nb
-1.7997 -1.4711 -7.6132 Nb
2.8177 -4.3444 -1.2616 Nb
-3.6334 -5.1664 -2.4478 Nb
0.9840 -8.0396 3.9038 Nb
1.4678 -7.2396 -2.9661 Nb
-1.5706 -2.8011 -4.2534 Nb
-5.2716 -5.2480 2.8342 Nb
-2.2499 -7.2147 2.4999 Nb
0.9504 -3.0960 0.6606 Cr
4.1760 -2.6850 1.2536 Cr
0.0000 0.0000 0.0000 Cr
0.7213 -1.7660 -2.6993 Cr
-4.5838 -2.0704 -3.1083 Cr
3.7346 -2.4967 -3.8444 Cr
3.0468 -5.6744 2.0982 Cr
-6.8674 -4.3414 -3.8516 Cr
1.4510 -4.7678 -4.5877 Cr
-5.5007 -3.9180 -0.5256 Cr
4.6850 -5.5927 -3.1838 Cr
-0.4079 -4.7554 -1.8547 Cr
-0.4414 0.1883 -5.0980 Cr
-4.1424 -2.2586 1.9897 Cr
-2.2667 -4.7429 0.8783 Cr
6.0517 -5.1693 0.1423 Cr
0.0336 -4.9436 3.2433 Cr
-3.8625 -3.8363 -5.8076 Cr
-1.5370 -7.7448 -1.0101 Cr
-1.7661 -6.4147 -4.3699 Cr
0.1356 -0.5452 -6.8591 N
0.7860 -4.5855 -0.2677 N
-0.0688 -2.9360 -7.7913 N
0.3043 -1.5210 -4.3944 N
-0.2040 -6.7094 -1.5186 N
2.5681 -3.6415 -7.6500 N
2.8858 -5.9350 0.3622 N
6.4751 -5.4043 1.8372 N
1.8953 -8.0591 -0.8877 N
2.7905 -3.7365 -5.0872 N
0.0987 -3.9118 -5.3265 N
6.5951 -4.7176 -5.9188 N
1.4578 -6.2043 2.6475 N
2.3187 -2.4657 -2.4419 N
4.3927 -6.5404 2.8371 N
-4.2242 -3.1865 -1.4966 N
-0.3390 -1.9262 0.3842 N
4.5357 -3.9080 -2.6871 N
4.5122 -5.8527 -4.9187 N
2.5406 -2.5597 0.1211 N
1.2527 -8.5947 1.7144 N
1.3093 -4.9739 -2.8427 N
1.6056 -6.4491 -5.0944 N
-5.5727 -5.5078 -3.5853 N
-2.1250 -4.5368 -0.8666 N
-2.4213 -3.0616 1.3850 N
4.7570 -4.0029 -0.1241 N
-5.3279 -3.6581 1.2093 N
-2.0684 -0.9160 -5.4238 N
-3.3563 -6.9510 -3.8305 N
-5.3514 -5.6027 -1.0223 N
3.4085 -6.3243 -2.2128 N
-0.4767 -7.5845 -4.0935 N
-5.2084 -2.9703 -6.5465 N
-2.2735 -3.3064 -6.3568 N
-7.4108 -4.7931 2.2094 N
-3.1344 -7.0451 -1.2675 N
-2.7110 -1.4516 -2.8217 N
-3.6062 -5.7742 1.3778 N
-0.9144 -5.5990 1.6171 N
-7.2908 -4.1064 -5.5466 N
-3.7015 -3.5758 -4.0716 N
-1.1200 -7.9897 0.6850 N
-3.3838 -5.8693 3.9406 N
-0.6117 -2.8013 -2.1908 N
-0.7469 -6.5747 4.0819 N
-1.6017 -4.9252 -3.4417 N
-0.9513 -8.9655 3.1497 N